(1)
Material: AcPmDyTe3
Method: DFT, PBE
State: relaxed

As for the formation energy (no corrections): -1.29 eV per atom. The calculation puts the spin magnetization at 0.00 μB per formula unit.

The space group is P2_1/m (No. 11) and the conventional cell measures 8.752, 4.554 and 10.827 Å, with angles of 90.00, 109.74 and 90.00 degrees. The inequivalent atoms are Ac at (0.183, 0.250, 0.229), Pm at (0.358, 0.750, 0.887), Dy at (0.144, 0.250, 0.621), Te at (0.109, 0.250, 0.898), Te at (0.235, 0.750, 0.474) and Te at (0.464, 0.750, 0.208).


(2)
Material: AcPmDyTh
Method: DFT, PBE
State: relaxed

The calculation puts the spin magnetization at 0.00 μB per formula unit. The energy above the most stable polymorph in this dataset is 124.6 meV per atom. Its formation energy is 0.1684 eV per atom.

The space group is F-43m (No. 216) and the conventional cell measures 8.272, 8.272 and 8.272 Å, with angles of 90.00, 90.00 and 90.00 degrees. The inequivalent atoms are Ac at (0.000, 0.000, 0.000), Pm at (0.250, 0.250, 0.250), Dy at (0.250, 0.250, 0.750) and Th at (0.000, 0.000, 0.500).


(3)
Material: AcPmDyTh
Method: DFT, PBE
State: relaxed

The calculation puts the spin magnetization at 0.00 μB per formula unit. The energy above the most stable polymorph in this dataset is 0.0 meV per atom. Its formation energy is 0.0438 eV per atom.

The space group is P4mm (No. 99) and the conventional cell measures 3.694, 3.694 and 10.428 Å, with angles of 90.00, 90.00 and 90.00 degrees. The inequivalent atoms are Ac at (0.000, 0.000, 0.000), Pm at (0.500, 0.500, 0.724), Dy at (0.500, 0.500, 0.267) and Th at (0.000, 0.000, 0.492).


(4)
Material: AcPmDyTl
Method: DFT, PBE
State: relaxed

The calculation puts the spin magnetization at 0.00 μB per formula unit. Its formation energy is 0.0238 eV per atom.

The space group is F-43m (No. 216) and the conventional cell measures 8.008, 8.008 and 8.008 Å, with angles of 90.00, 90.00 and 90.00 degrees. The inequivalent atoms are Ac at (0.000, 0.000, 0.000), Pm at (0.250, 0.250, 0.250), Dy at (0.250, 0.250, 0.750) and Tl at (0.000, 0.000, 0.500).


(5)
Material: AcPmDy2Tl4
Method: DFT, PBE
State: relaxed

The calculation puts the spin magnetization at 0.00 μB per formula unit. Its formation energy is -0.3304 eV per atom.

The space group is R-3m (No. 166, hexagonal axes) and the conventional cell measures 5.5249, 5.5249 and 27.1804 Å, with angles of 90.00, 90.00 and 120.00 degrees. The inequivalent atoms are Ac at (0.0000, 0.0000, 0.0000), Pm at (0.0000, 0.0000, 0.5000), Dy at (0.0000, 0.0000, 0.2491), Tl at (0.0000, 0.0000, 0.1276) and Tl at (0.0000, 0.0000, 0.3785).


(6)
Material: Ac2Pm5DyTm
Method: DFT, PBE
State: relaxed

The calculation puts the spin magnetization at 0.00 μB per formula unit. Its formation energy is 0.1398 eV per atom.

The space group is Cmc2_1 (No. 36) and the conventional cell measures 5.804, 20.589 and 10.916 Å, with angles of 90.00, 90.00 and 90.00 degrees. The inequivalent atoms are Ac at (0.000, 0.113, 0.000), Ac at (0.000, 0.117, 0.583), Pm at (0.000, 0.019, 0.287), Pm at (0.000, 0.281, 0.577), Pm at (0.000, 0.295, 0.968), Pm at (0.000, 0.385, 0.286), Pm at (0.000, 0.484, 0.009), Dy at (0.000, 0.407, 0.734) and Tm at (0.000, 0.204, 0.275).


(7)
Material: AcPmDy2Tm
Method: DFT, PBE
State: relaxed

The calculation puts the spin magnetization at 0.00 μB per formula unit. Its formation energy is 0.3945 eV per atom.

The space group is Cmcm (No. 63) and the conventional cell measures 6.457, 17.605 and 6.455 Å, with angles of 90.00, 90.00 and 90.00 degrees. The inequivalent atoms are Ac at (0.000, 0.159, 0.250), Pm at (0.000, 0.347, 0.250), Dy at (0.248, 0.500, 0.000) and Tm at (0.000, 0.249, 0.750).


(8)
Material: AcPm2Dy2Tm2
Method: DFT, PBE
State: relaxed

The calculation puts the spin magnetization at 0.00 μB per formula unit. Its formation energy is 0.0449 eV per atom.

The space group is C2/m (No. 12) and the conventional cell measures 11.432, 5.097 and 8.167 Å, with angles of 90.00, 98.30 and 90.00 degrees. The inequivalent atoms are Ac at (0.000, 0.000, 0.000), Pm at (0.142, 0.000, 0.432), Dy at (0.216, 0.500, 0.147) and Tm at (0.074, 0.500, 0.710).


- Which formula does entry 1 have?
  AcPmDyTe3